Model i:
Density functional theory data (PBE) for crystalline RbCd2Mo2 at its relaxed geometry.

abc: 5.4597 5.4597 9.0809
angles: 90.00 90.00 90.00
Element x y z (fractional)
Rb1 0.0000 0.0000 0.0000
Rb2 0.5000 0.5000 0.5000
Cd1 0.0000 0.5000 0.2500
Cd2 0.0000 0.5000 0.7500
Cd3 0.5000 0.0000 0.2500
Cd4 0.5000 0.0000 0.7500
Mo1 0.0000 0.0000 0.3857
Mo2 0.0000 0.0000 0.6143
Mo3 0.5000 0.5000 0.1143
Mo4 0.5000 0.5000 0.8857

Summary:
The symmetry is I4/mmm, No. 139. Its calculated volume is 27.069 A^3/atom. The calculation puts the spin magnetization at 0.0 Bohr magnetons per cell. The calculation puts the density of states at the Fermi level at 10.615 states/eV per cell.


Model ii:
Density functional theory data (PBE) for crystalline RbCd2Mo2 at its relaxed geometry.

abc: 8.9242 8.9242 2.8854
angles: 90.00 90.00 90.00
Element x y z (fractional)
Rb1 0.0000 0.0000 0.0000
Rb2 0.5000 0.5000 0.0000
Cd1 0.1912 0.3088 0.5000
Cd2 0.3088 0.8088 0.5000
Cd3 0.6912 0.1912 0.5000
Cd4 0.8088 0.6912 0.5000
Mo1 0.0937 0.5937 0.0000
Mo2 0.4063 0.0937 0.0000
Mo3 0.5937 0.9063 0.0000
Mo4 0.9063 0.4063 0.0000

Summary:
The symmetry is P4/mbm, No. 127. Its calculated volume is 22.980 A^3/atom. The calculation puts the spin magnetization at 0.0 Bohr magnetons per cell. The calculation puts the density of states at the Fermi level at 9.438 states/eV per cell.


model ii comes first in stability; the runner-up is 24.3 kJ/mol of atoms higher.